{"formula": "BaPaFeO5", "functional": "PBE+U", "state": "optimized geometry", "lattice_angstrom": [[6.257, 0.016, -0.040], [-1.811, 5.990, -0.040], [-1.896, -2.561, 7.461]], "species": ["Ba", "Ba", "Pa", "Pa", "Fe", "Fe", "O", "O", "O", "O", "O", "O", "O", "O", "O", "O"], "frac_coords": [[0.334, 0.666, 0.250], [0.666, 0.334, 0.750], [0.000, 0.000, 0.500], [0.000, 0.000, 0.000], [0.686, 0.314, 0.250], [0.314, 0.686, 0.750], [0.071, 0.929, 0.250], [0.929, 0.071, 0.750], [0.889, 0.296, 0.107], [0.111, 0.704, 0.893], [0.704, 0.111, 0.393], [0.296, 0.889, 0.607], [0.757, 0.630, 0.400], [0.243, 0.370, 0.600], [0.370, 0.243, 0.100], [0.630, 0.757, 0.900]], "n_ef_per_ev_atom": 0.00, "spacegroup": "No. 15", "energy_ev_per_atom": -8.04}